[1]
SbRh2Se: optimized geometry, PBE.

Values from the calculation:
E_tot = -5.80 eV/atom
Formation energy without anion corrections = -22 kJ/mol of atoms
N(E_F) = 0.640 states/eV/atom
Symmetry = No. 25

Cell lengths 4.774, 3.350, 4.515 Å; angles 89.99, 90.00, 90.00 degrees
Sites, in units of the cell vectors:
Rh 0.000 0.875 0.996
Rh 0.500 0.375 0.211
Se 0.500 0.875 0.812
Sb 0.000 0.375 0.481

=====

[2]
La3PmPrSm: optimized geometry, PBE.

Values from the calculation:
Calculated formation energy = 132.6 meV/atom
E_tot = -4.71 eV/atom
N(E_F) = 1.394 states/eV/atom
Symmetry = No. 12

Cell lengths 5.934, 10.957, 6.909 Å; angles 90.56, 90.00, 105.71 degrees
Sites, in units of the cell vectors:
La 0.780 0.560 0.731
Pm 0.648 0.296 0.031
La 0.483 0.966 0.245
Sm 0.643 0.285 0.484
Pm 0.352 0.704 0.969
Pr 0.058 0.117 0.257
La 0.220 0.440 0.269
La 0.840 0.679 0.238
La 0.160 0.321 0.762
La 0.517 0.034 0.755
Sm 0.357 0.715 0.516
Pr 0.942 0.883 0.743

=====

[3]
TcP2ClF: optimized geometry, PBE.

Values from the calculation:
E_tot = -4.16 eV/atom
Formation energy without anion corrections = 79 kJ/mol of atoms
N(E_F) = 0.767 states/eV/atom
Symmetry = No. 123

Cell lengths 4.119, 4.119, 5.103 Å; angles 90.00, 90.00, 90.00 degrees
Each line ends with the local moment (μB).
Sites, in units of the cell vectors:
Tc 0.500 0.500 0.500  3.29
P 0.000 0.500 0.000  -0.12
F 0.000 0.000 0.000  -0.01
Cl 0.000 0.000 0.500  0.04
P 0.500 0.000 0.000  -0.12

=====

[4]
MnBeSe2N: optimized geometry, PBE.

Values from the calculation:
E_tot = -5.24 eV/atom
Formation energy without anion corrections = 38 kJ/mol of atoms
N(E_F) = 0.691 states/eV/atom
Symmetry = No. 123

Cell lengths 5.031, 5.031, 3.077 Å; angles 90.00, 90.00, 90.00 degrees
Each line ends with the local moment (μB).
Sites, in units of the cell vectors:
Be 0.000 0.000 0.000  0.00
N 0.000 0.000 0.500  -0.20
Se 0.500 0.000 0.000  -0.12
Se 0.000 0.500 0.000  -0.12
Mn 0.500 0.500 0.500  4.15

=====

[5]
LuGa: optimized geometry, PBE.

Values from the calculation:
Calculated formation energy = -518.1 meV/atom
E_tot = -4.29 eV/atom
N(E_F) = 0.549 states/eV/atom
Symmetry = No. 63

Cell lengths 5.509, 5.638, 5.639 Å; angles 100.66, 90.00, 90.00 degrees
Sites, in units of the cell vectors:
Ga 0.000 0.000 0.000
Lu 0.250 0.457 0.843
Ga 0.500 0.000 0.000
Lu 0.750 0.543 0.157
Lu 0.250 0.843 0.457
Ga 0.250 0.324 0.324
Ga 0.750 0.676 0.676
Lu 0.750 0.157 0.543

=====

[6]
CeNiPt: optimized geometry, PBE.

Values from the calculation:
Calculated formation energy = -479.2 meV/atom
E_tot = -6.40 eV/atom
N(E_F) = 1.274 states/eV/atom
Symmetry = No. 12

Cell lengths 3.669, 7.365, 4.786 Å; angles 108.88, 90.00, 104.43 degrees
Each line ends with the local moment (μB).
Sites, in units of the cell vectors:
Pt 0.619 0.238 0.120  0.01
Ce 0.832 0.664 0.331  -0.27
Ni 0.000 0.001 0.759  0.04
Ce 0.168 0.336 0.669  -0.27
Pt 0.381 0.762 0.880  0.01
Ni 0.000 0.999 0.241  0.04

=====

[7]
PmGd2Cl: optimized geometry, PBE.

Values from the calculation:
E_tot = -9.36 eV/atom
Formation energy without anion corrections = -65 kJ/mol of atoms
N(E_F) = 1.368 states/eV/atom
Symmetry = No. 166

Cell lengths 3.659, 3.659, 10.261 Å; angles 79.73, 79.73, 60.00 degrees
Each line ends with the local moment (μB).
Sites, in units of the cell vectors:
Gd 0.262 0.262 0.215  7.04
Gd 0.738 0.738 0.785  7.04
Cl 0.000 0.000 0.000  -0.01
Pm 0.500 0.500 0.500  -0.06

=====

[8]
RbTcBi2O6: optimized geometry, PBE.

Values from the calculation:
E_tot = -6.15 eV/atom
Formation energy without anion corrections = -123 kJ/mol of atoms
N(E_F) = 0.327 states/eV/atom
Symmetry = No. 15

Cell lengths 6.972, 8.504, 8.504 Å; angles 104.36, 76.44, 76.44 degrees
Each line ends with the local moment (μB).
Sites, in units of the cell vectors:
O 0.986 0.675 0.171  0.09
O 0.789 0.040 0.214  0.09
Tc 0.750 0.826 0.174  1.26
O 0.451 0.429 0.344  0.01
O 0.951 0.344 0.429  0.01
Rb 0.250 0.898 0.102  0.00
O 0.211 0.960 0.786  0.09
Bi 0.355 0.717 0.540  0.04
Tc 0.250 0.174 0.826  1.26
O 0.289 0.214 0.040  0.09
O 0.049 0.656 0.571  0.01
Bi 0.855 0.540 0.717  0.04
O 0.014 0.325 0.829  0.09
O 0.514 0.829 0.325  0.09
O 0.711 0.786 0.960  0.09
O 0.549 0.571 0.656  0.01
Rb 0.750 0.102 0.898  0.00
Bi 0.645 0.283 0.460  0.04
O 0.486 0.171 0.675  0.09
Bi 0.145 0.460 0.283  0.04